[1]
TcSbAs2Se | GGA-PBE | optimized geometry

## Properties
The space group is P4/mmm (123). The energy relative to the elements, uncorrected is 203 kJ/mol of formula units. The crystal system is tetragonal. Its distance to the lowest polymorph of the same formula is 0.0000 eV/atom.

a = 4.6823 Å, b = 4.6823 Å, c = 5.4291 Å
α = 90.00°, β = 90.00°, γ = 90.00°
Closest atoms and distances in Å follow each position.
Fractional coordinates of all 5 atoms:
Sb: 0.5000 0.5000 0.5000  4 Se 3.31, 8 As 3.58
As: 0.0000 0.5000 0.0000  2 Tc 2.34
As: 0.5000 0.0000 0.0000  2 Tc 2.34
Tc: 0.0000 0.0000 0.0000  4 As 2.34
Se: 0.0000 0.0000 0.5000  2 Tc 2.71

[2]
PrDyZnHg | GGA-PBE | optimized geometry

## Properties
The space group is F-43m (216). The crystal system is cubic. The value obtained for the formation energy is -0.37 eV per atom. Its distance to the lowest polymorph of the same formula is 0.0328 eV/atom.

a = 5.2766 Å, b = 5.2766 Å, c = 5.2766 Å
α = 60.00°, β = 60.00°, γ = 60.00°
Closest atoms and distances in Å follow each position.
Fractional coordinates of all 4 atoms:
Pr: 0.2500 0.2500 0.2500  4 Hg 3.23, 4 Zn 3.23
Zn: 0.0000 0.0000 0.0000  4 Pr 3.23, 4 Dy 3.23
Hg: 0.5000 0.5000 0.5000  4 Dy 3.23, 4 Pr 3.23
Dy: 0.7500 0.7500 0.7500  4 Hg 3.23, 4 Zn 3.23

[3]
YIn2W | GGA-PBE | optimized geometry

## Properties
The space group is Cm (8). The crystal system is monoclinic. The value obtained for the formation energy is 0.36 eV per atom. Its distance to the lowest polymorph of the same formula is 0.1658 eV/atom.

a = 5.7010 Å, b = 5.7010 Å, c = 5.3771 Å
α = 77.29°, β = 77.29°, γ = 31.50°
Closest atoms and distances in Å follow each position.
Fractional coordinates of all 4 atoms:
In: 0.0039 0.0039 0.9895  4 W 3.08-3.13, 5 In 3.09-3.27, 3 Y 3.21-3.37
In: 0.7660 0.7660 0.7452  2 W 3.00, 4 Y 3.09-3.15, 5 In 3.09-3.27
W: 0.4959 0.4959 0.4991  6 In 3.00-3.13, 2 Y 3.05, 2 W 3.09
Y: 0.2342 0.2342 0.2661  3 W 3.05-3.39, 7 In 3.09-3.37, 2 Y 3.09

[4]
PmPuCuIr | GGA-PBE | optimized geometry

## Properties
The space group is F-43m (216). The crystal system is cubic. The value obtained for the formation energy is -0.31 eV per atom.

a = 4.9420 Å, b = 4.9420 Å, c = 4.9420 Å
α = 60.00°, β = 60.00°, γ = 60.00°
Closest atoms and distances in Å follow each position.
Fractional coordinates of all 4 atoms:
Ir: 0.0000 0.0000 0.0000  4 Pu 3.03, 4 Pm 3.03
Pm: 0.7500 0.7500 0.7500  4 Cu 3.03, 4 Ir 3.03
Cu: 0.5000 0.5000 0.5000  4 Pm 3.03, 4 Pu 3.03
Pu: 0.2500 0.2500 0.2500  4 Cu 3.03, 4 Ir 3.03

[5]
PmMgZnCo | GGA-PBE | optimized geometry

## Properties
The space group is F-43m (216). The crystal system is cubic. The value obtained for the formation energy is -0.04 eV per atom.

a = 4.7821 Å, b = 4.7821 Å, c = 4.7821 Å
α = 60.00°, β = 60.00°, γ = 60.00°
Closest atoms and distances in Å follow each position.
Fractional coordinates of all 4 atoms:
Zn: 0.5000 0.5000 0.5000  4 Mg 2.93, 4 Pm 2.93
Co: 0.0000 0.0000 0.0000  4 Pm 2.93, 4 Mg 2.93
Mg: 0.7500 0.7500 0.7500  4 Zn 2.93, 4 Co 2.93
Pm: 0.2500 0.2500 0.2500  4 Co 2.93, 4 Zn 2.93

[6]
K2SrRu | GGA-PBE | optimized geometry

## Properties
The space group is P4/mmm (123). The crystal system is tetragonal. The value obtained for the formation energy is 0.89 eV per atom. Its distance to the lowest polymorph of the same formula is 0.2503 eV/atom.

a = 4.8305 Å, b = 4.8305 Å, c = 6.2416 Å
α = 90.00°, β = 90.00°, γ = 90.00°
Closest atoms and distances in Å follow each position.
Fractional coordinates of all 4 atoms:
K: 0.0000 0.0000 0.0000  4 K 3.42
K: 0.5000 0.5000 0.0000  4 K 3.42
Ru: 0.5000 0.0000 0.5000  4 Sr 3.42
Sr: 0.0000 0.5000 0.5000  4 Ru 3.42

[7]
HgC3 | GGA-PBE | optimized geometry

## Properties
The space group is Pm-3n (223). The crystal system is cubic. The value obtained for the formation energy is 3.78 eV per atom. Its distance to the lowest polymorph of the same formula is 3.0437 eV/atom.

a = 4.5327 Å, b = 4.5327 Å, c = 4.5327 Å
α = 90.00°, β = 90.00°, γ = 90.00°
Closest atoms and distances in Å follow each position.
Fractional coordinates of all 8 atoms:
Hg: 0.0000 0.0000 0.0000  12 C 2.53
Hg: 0.5000 0.5000 0.5000  12 C 2.53
C: 0.7500 0.5000 0.0000  2 C 2.27, 4 Hg 2.53
C: 0.2500 0.5000 0.0000  2 C 2.27, 4 Hg 2.53
C: 0.0000 0.7500 0.5000  2 C 2.27, 4 Hg 2.53
C: 0.0000 0.2500 0.5000  2 C 2.27, 4 Hg 2.53
C: 0.5000 0.0000 0.2500  2 C 2.27, 4 Hg 2.53
C: 0.5000 0.0000 0.7500  2 C 2.27, 4 Hg 2.53

[8]
GaSnPd4 | GGA-PBE | optimized geometry

## Properties
The space group is Pmna (53). The crystal system is orthorhombic. The value obtained for the formation energy is -0.48 eV per atom. Its distance to the lowest polymorph of the same formula is 0.0862 eV/atom.

a = 4.6248 Å, b = 5.4458 Å, c = 8.0554 Å
α = 90.00°, β = 89.98°, γ = 90.00°
Closest atoms and distances in Å follow each position.
Fractional coordinates of all 12 atoms:
Ga: 0.5000 0.0000 0.5000  8 Pd 2.54-2.71
Ga: 0.0000 0.5000 0.5000  8 Pd 2.54-2.71
Sn: 0.0000 0.0000 0.0000  8 Pd 2.69-2.78
Sn: 0.5000 0.5000 0.0000  8 Pd 2.69-2.78
Pd: 0.9999 0.5864 0.1832  1 Ga 2.59, 3 Sn 2.69-2.78, 2 Pd 2.82
Pd: 0.5001 0.0864 0.8168  1 Ga 2.59, 3 Sn 2.69-2.78, 2 Pd 2.82
Pd: 0.4998 0.4016 0.3391  3 Ga 2.54-2.71, 1 Sn 2.78, 5 Pd 2.81-2.84
Pd: 0.0002 0.9016 0.6609  3 Ga 2.54-2.71, 1 Sn 2.78, 5 Pd 2.81-2.84
Pd: 0.0001 0.4136 0.8168  1 Ga 2.59, 3 Sn 2.69-2.78, 2 Pd 2.82
Pd: 0.4999 0.9136 0.1832  1 Ga 2.59, 3 Sn 2.69-2.78, 2 Pd 2.82
Pd: 0.5002 0.5984 0.6609  3 Ga 2.54-2.71, 1 Sn 2.78, 5 Pd 2.81-2.84
Pd: 0.9998 0.0984 0.3391  3 Ga 2.54-2.71, 1 Sn 2.78, 5 Pd 2.81-2.84

[9]
GdDyErCd | GGA-PBE | optimized geometry

## Properties
The space group is F-43m (216). The crystal system is cubic. The value obtained for the formation energy is -0.04 eV per atom.

a = 5.4407 Å, b = 5.4407 Å, c = 5.4407 Å
α = 60.00°, β = 60.00°, γ = 60.00°
Closest atoms and distances in Å follow each position.
Fractional coordinates of all 4 atoms:
Gd: 0.7500 0.7500 0.7500  4 Cd 3.33, 4 Er 3.33
Cd: 0.0000 0.0000 0.0000  4 Dy 3.33, 4 Gd 3.33
Dy: 0.2500 0.2500 0.2500  4 Er 3.33, 4 Cd 3.33
Er: 0.5000 0.5000 0.5000  4 Gd 3.33, 4 Dy 3.33

[10]
AlIn2Fe | GGA-PBE | optimized geometry

## Properties
The space group is I-42d (122). The crystal system is tetragonal. The value obtained for the formation energy is 0.27 eV per atom.

a = 9.7590 Å, b = 9.7590 Å, c = 7.2712 Å
α = 47.85°, β = 47.85°, γ = 90.00°
Closest atoms and distances in Å follow each position.
Fractional coordinates of all 8 atoms:
Al: 0.5000 0.5000 0.0000  2 Fe 2.29
Al: 0.2500 0.7500 0.5000  2 Fe 2.29
Fe: 0.0000 0.0000 0.0000  2 Al 2.29, 4 In 2.51
Fe: 0.7500 0.2500 0.5000  2 Al 2.29, 4 In 2.51
In: 0.8743 0.1250 0.2500  2 Fe 2.51
In: 0.8757 0.6250 0.2500  2 Fe 2.51
In: 0.3750 0.1257 0.7500  2 Fe 2.51
In: 0.8750 0.1243 0.7500  2 Fe 2.51

[11]
LiRe3Bi | GGA-PBE | optimized geometry

## Properties
The space group is Pm-3m (221). The crystal system is cubic. The value obtained for the formation energy is 1.70 eV per atom. Its distance to the lowest polymorph of the same formula is 0.0000 eV/atom.

a = 4.3349 Å, b = 4.3349 Å, c = 4.3349 Å
α = 90.00°, β = 90.00°, γ = 90.00°
Closest atoms and distances in Å follow each position.
Fractional coordinates of all 5 atoms:
Re: 0.0000 0.5000 0.0000  2 Li 2.17
Re: 0.0000 0.0000 0.5000  2 Li 2.17
Re: 0.5000 0.0000 0.0000  2 Li 2.17
Bi: 0.5000 0.5000 0.5000  12 Re 3.07
Li: 0.0000 0.0000 0.0000  6 Re 2.17

[12]
Nb3Pd | GGA-PBE | optimized geometry

## Properties
The space group is I4/mmm (139). The crystal system is tetragonal. The value obtained for the formation energy is -0.03 eV per atom.

a = 4.0581 Å, b = 4.0581 Å, c = 5.1548 Å
α = 113.18°, β = 113.18°, γ = 90.00°
Closest atoms and distances in Å follow each position.
Fractional coordinates of all 4 atoms:
Nb: 0.7500 0.2500 0.5000  8 Nb 2.87-2.95, 4 Pd 2.95
Nb: 0.2500 0.7500 0.5000  8 Nb 2.87-2.95, 4 Pd 2.95
Nb: 0.5000 0.5000 0.0000  4 Pd 2.87, 8 Nb 2.95
Pd: 0.0000 0.0000 0.0000  12 Nb 2.87-2.95

[13]
SrSb2Ir | GGA-PBE | optimized geometry

## Properties
The space group is P4/mmm (123). The energy relative to the elements, uncorrected is -49 kJ/mol of formula units. The crystal system is tetragonal.

a = 3.4606 Å, b = 3.4606 Å, c = 8.0588 Å
α = 90.00°, β = 90.00°, γ = 90.00°
Closest atoms and distances in Å follow each position.
Fractional coordinates of all 4 atoms:
Ir: 0.5000 0.5000 0.7500  8 Sb 2.90
Sb: 0.0000 0.0000 0.9443  4 Ir 2.90, 1 Sb 3.13
Sb: 0.0000 0.0000 0.5557  4 Ir 2.90, 1 Sb 3.13
Sr: 0.5000 0.5000 0.2500  4 Sr 3.46, 8 Sb 3.47

[14]
AcY5Er2 | GGA-PBE | optimized geometry

## Properties
The space group is Pbam (55). The crystal system is orthorhombic. The value obtained for the formation energy is 0.02 eV per atom. Its distance to the lowest polymorph of the same formula is 0.0000 eV/atom.

a = 7.2564 Å, b = 11.6832 Å, c = 12.4993 Å
α = 90.00°, β = 90.00°, γ = 90.00°
Closest atoms and distances in Å follow each position.
Fractional coordinates of all 32 atoms:
Ac: 0.5000 0.5003 0.7517  8 Y 3.60-3.65, 4 Er 3.62-3.63
Ac: 0.5000 0.4997 0.2483  8 Y 3.60-3.65, 4 Er 3.62-3.63
Ac: 0.5000 0.9997 0.2517  8 Y 3.60-3.65, 4 Er 3.62-3.63
Ac: 0.5000 0.0003 0.7483  8 Y 3.60-3.65, 4 Er 3.62-3.63
Y: 0.7565 0.2500 0.6674  7 Y 3.53-3.72, 3 Er 3.56-3.59, 2 Ac 3.60-3.62
Y: 0.7565 0.7500 0.3326  7 Y 3.53-3.72, 3 Er 3.56-3.59, 2 Ac 3.60-3.62
Y: 0.2435 0.2500 0.1674  7 Y 3.53-3.72, 3 Er 3.56-3.59, 2 Ac 3.60-3.62
Y: 0.2435 0.7500 0.8326  7 Y 3.53-3.72, 3 Er 3.56-3.59, 2 Ac 3.60-3.62
Y: 0.2435 0.7500 0.3326  7 Y 3.53-3.72, 3 Er 3.56-3.59, 2 Ac 3.60-3.62
Y: 0.2435 0.2500 0.6674  7 Y 3.53-3.72, 3 Er 3.56-3.59, 2 Ac 3.60-3.62
Y: 0.7565 0.7500 0.8326  7 Y 3.53-3.72, 3 Er 3.56-3.59, 2 Ac 3.60-3.62
Y: 0.7565 0.2500 0.1674  7 Y 3.53-3.72, 3 Er 3.56-3.59, 2 Ac 3.60-3.62
Y: 0.5000 0.2511 0.9207  2 Er 3.59, 2 Ac 3.60-3.64, 8 Y 3.60-3.67
Y: 0.5000 0.7489 0.0793  2 Er 3.59, 2 Ac 3.60-3.64, 8 Y 3.60-3.67
Y: 0.5000 0.2489 0.4207  2 Er 3.59, 2 Ac 3.60-3.64, 8 Y 3.60-3.67
Y: 0.5000 0.7511 0.5793  2 Er 3.59, 2 Ac 3.60-3.64, 8 Y 3.60-3.67
Y: 0.0000 0.2510 0.9171  4 Er 3.56-3.61, 8 Y 3.58-3.63
Y: 0.0000 0.7490 0.0829  4 Er 3.56-3.61, 8 Y 3.58-3.63
Y: 0.0000 0.2490 0.4171  4 Er 3.56-3.61, 8 Y 3.58-3.63
Y: 0.0000 0.7510 0.5829  4 Er 3.56-3.61, 8 Y 3.58-3.63
Y: 0.7559 0.0000 0.0000  8 Y 3.54-3.71, 2 Er 3.60, 2 Ac 3.65
Y: 0.2441 0.5000 0.5000  8 Y 3.54-3.71, 2 Er 3.60, 2 Ac 3.65
Y: 0.2441 0.0000 0.0000  8 Y 3.54-3.71, 2 Er 3.60, 2 Ac 3.65
Y: 0.7559 0.5000 0.5000  8 Y 3.54-3.71, 2 Er 3.60, 2 Ac 3.65
Er: 0.0000 0.0001 0.7489  8 Y 3.56-3.61, 2 Er 3.58, 2 Ac 3.63
Er: 0.0000 0.9999 0.2511  8 Y 3.56-3.61, 2 Er 3.58, 2 Ac 3.63
Er: 0.0000 0.4999 0.2489  8 Y 3.56-3.61, 2 Er 3.58, 2 Ac 3.63
Er: 0.0000 0.5001 0.7511  8 Y 3.56-3.61, 2 Er 3.58, 2 Ac 3.63
Er: 0.7567 0.0000 0.5000  4 Er 3.53-3.73, 6 Y 3.56-3.59, 2 Ac 3.62
Er: 0.2433 0.5000 0.0000  4 Er 3.53-3.73, 6 Y 3.56-3.59, 2 Ac 3.62
Er: 0.2433 0.0000 0.5000  4 Er 3.53-3.73, 6 Y 3.56-3.59, 2 Ac 3.62
Er: 0.7567 0.5000 0.0000  4 Er 3.53-3.73, 6 Y 3.56-3.59, 2 Ac 3.62

[15]
CrGa2Ru3 | GGA-PBE | optimized geometry

## Properties
The space group is P4/mmm (123). The crystal system is tetragonal. The value obtained for the formation energy is -0.21 eV per atom.

a = 2.9976 Å, b = 2.9976 Å, c = 9.1063 Å
α = 90.00°, β = 90.00°, γ = 90.00°
Closest atoms and distances in Å follow each position.
Fractional coordinates of all 6 atoms:
Cr: 0.5000 0.5000 0.5000  8 Ru 2.58
Ga: 0.5000 0.5000 0.8341  8 Ru 2.60-2.63
Ga: 0.5000 0.5000 0.1659  8 Ru 2.60-2.63
Ru: 0.0000 0.0000 0.0000  8 Ga 2.60
Ru: 0.0000 0.0000 0.6623  4 Cr 2.58, 4 Ga 2.63
Ru: 0.0000 0.0000 0.3377  4 Cr 2.58, 4 Ga 2.63

[16]
Tl2Hg2Se3 | GGA-PBE | optimized geometry

## Properties
The space group is P2_1/c (14). The energy relative to the elements, uncorrected is -160 kJ/mol of formula units. The crystal system is monoclinic. Its distance to the lowest polymorph of the same formula is 0.0211 eV/atom.

a = 8.4464 Å, b = 7.7798 Å, c = 7.7453 Å
α = 90.00°, β = 60.94°, γ = 90.00°
Closest atoms and distances in Å follow each position.
Fractional coordinates of all 14 atoms:
Tl: 0.8910 0.6742 0.8375  4 Se 3.16-3.44
Tl: 0.3910 0.8258 0.8375  4 Se 3.16-3.44
Tl: 0.6090 0.1742 0.1625  4 Se 3.16-3.44
Tl: 0.1090 0.3258 0.1625  4 Se 3.16-3.44
Hg: 0.5848 0.3506 0.6378  4 Se 2.65-2.79
Hg: 0.9152 0.8506 0.3622  4 Se 2.65-2.79
Hg: 0.0848 0.1494 0.6378  4 Se 2.65-2.79
Hg: 0.4152 0.6494 0.3622  4 Se 2.65-2.79
Se: 0.5000 0.5000 0.0000  2 Hg 2.79
Se: 0.0000 0.0000 0.0000  2 Hg 2.79
Se: 0.7487 0.0751 0.6768  3 Hg 2.65-2.77
Se: 0.7513 0.5751 0.3232  3 Hg 2.65-2.77
Se: 0.2487 0.4249 0.6768  3 Hg 2.65-2.77
Se: 0.2513 0.9249 0.3232  3 Hg 2.65-2.77

[17]
Ba3ScZn2O6 | GGA-PBE | optimized geometry

## Properties
The space group is P-3m1 (164). The energy relative to the elements, uncorrected is -2588 kJ/mol of formula units. The crystal system is trigonal.

a = 6.0195 Å, b = 6.0195 Å, c = 6.9608 Å
α = 90.00°, β = 90.00°, γ = 120.00°
Closest atoms and distances in Å follow each position.
Fractional coordinates of all 12 atoms:
Ba: 0.3333 0.6667 0.6454  9 O 2.90-3.02, 1 Zn 3.06
Ba: 0.6667 0.3333 0.3546  9 O 2.90-3.02, 1 Zn 3.06
Ba: 0.0000 0.0000 0.0000  6 O 2.78
Sc: 0.0000 0.0000 0.5000  6 O 2.13
Zn: 0.6667 0.3333 0.7948  3 O 1.93
Zn: 0.3333 0.6667 0.2052  3 O 1.93
O: 0.6741 0.8371 0.3153  1 Zn 1.93, 1 Sc 2.13
O: 0.1629 0.3259 0.3153  1 Zn 1.93, 1 Sc 2.13
O: 0.1629 0.8371 0.3153  1 Zn 1.93, 1 Sc 2.13
O: 0.8371 0.6741 0.6847  1 Zn 1.93, 1 Sc 2.13
O: 0.3259 0.1629 0.6847  1 Zn 1.93, 1 Sc 2.13
O: 0.8371 0.1629 0.6847  1 Zn 1.93, 1 Sc 2.13

| no. | size of the total moment (μB/f.u.) | calculated volume (Å³ per atom) |
| --- | --- | --- |
| 1 | 0.000 | 23.8 |
| 2 | 0.779 | 26.0 |
| 3 | 0.000 | 22.2 |
| 4 | 5.611 | 21.3 |
| 5 | 0.804 | 19.3 |
| 6 | 1.797 | 36.4 |
| 7 | 0.000 | 11.6 |
| 8 | 0.000 | 16.9 |
| 9 | 7.738 | 28.5 |
| 10 | 0.636 | 27.3 |
| 11 | 2.597 | 16.3 |
| 12 | 0.000 | 17.6 |
| 13 | 0.000 | 24.1 |
| 14 | 0.000 | 33.1 |
| 15 | 1.293 | 13.6 |
| 16 | 0.000 | 31.8 |
| 17 | 0.627 | 18.2 |